DFT (SCAN) results for SnBiSeBr2 at its PBEsol-relaxed geometry.

abc: 5.380 5.380 5.362
angles: 90.00 90.00 90.00
Sites, in units of the cell vectors:
Se1 0.000 0.000 0.500
Bi1 0.500 0.500 0.500
Br1 0.000 0.500 0.000
Br2 0.500 0.000 0.000
Sn1 0.000 0.000 0.000

Results
The space-group type is P4/mmm, No. 123. The calculation puts the raw formation energy at 0.094 eV/atom. Its density of states at the Fermi level is 3.65 states/eV/cell.